Entry 1:
A relaxed Zn2CdAg6 crystal. Source: the Alexandria database, functional PBE-GGA.

It has space group P4_2/mnm (No. 136), with a = 5.565 Å, b = 5.565 Å, c = 13.835 Å, α = 90.00°, β = 90.00° and γ = 90.00°. Symmetry generates all atoms from Zn at (0.000, 0.000, 0.159), Cd at (0.000, 0.000, 0.500), Ag at (0.169, 0.169, 0.000) and Ag at (0.178, 0.178, 0.318).

As for the crystal system: tetragonal. The formation energy is 0.414 eV per atom.


Entry 2:
A relaxed PmY5Te6 crystal. Source: the Alexandria database, functional PBE-GGA.

It has space group C2/m (No. 12), with a = 7.590 Å, b = 13.174 Å, c = 7.575 Å, α = 90.00°, β = 109.51° and γ = 90.00°. Symmetry generates all atoms from Pm at (0.000, 0.000, 0.000), Y at (0.000, 0.159, 0.500), Y at (0.000, 0.334, 0.000), Y at (0.000, 0.500, 0.500), Te at (0.242, 0.500, 0.248) and Te at (0.245, 0.329, 0.745).

As for the crystal system: monoclinic.


Number 1: volume 23.804 Å³ per atom, calculated total energy -33.695 eV per cell. Number 2: volume 29.747 Å³ per atom, calculated total energy -143.724 eV per cell.